Compound: Sb2MoAs
Source: the Alexandria database
Functional: PBE
Structure: relaxed

## Properties
Its total energy is -47.09 eV per cell. As for the size of the total moment: 0.00 μB/f.u. The value obtained for the volume is 95.0 Å³/f.u.

abc: 8.8693 3.3793 6.6894
angles: 90.00 108.59 90.00
With the nearest neighbours (Å) after each atom.
Space group Cm (No. 8)
One atom of each set of equivalent atoms:
Sb  0.0000  0.0000  0.0000  2 Mo 2.81, 1 Sb 3.00, 1 As 3.07
Sb  0.1895  0.0000  0.6999  2 Mo 2.79, 1 Sb 3.00, 1 As 3.02
Mo  0.1181  0.5000  0.3500  3 As 2.52-2.56, 4 Sb 2.79-2.81
As  0.3275  0.0000  0.3418  3 Mo 2.52-2.56